(1)
An optimized crystal structure of PmTmBe2. Source: Alexandria, functional PBE.

a b c (Å): 6.8617 6.8617 6.8617
angles (deg): 90.00 90.00 90.00
With the nearest neighbours (Å) after each atom.
Space group Fm-3m (No. 225)
Symmetry-distinct sites (fractional):
Pm (0.0000, 0.0000, 0.0000) x4  8 Be 2.97
Tm (0.0000, 0.0000, 0.5000) x4  8 Be 2.97
Be (0.2500, 0.2500, 0.2500) x8  4 Pm 2.97, 4 Tm 2.97

## Properties
Density ... 6.82 g/cm3
E above lowest polymorph ... 10 meV/atom
D(E_F) ... 1.152 states/eV per atom
Total DFT energy (no corrections) ... -4.0338 eV per atom
Magnetization ... 0.000 μB per atom
Formation energy from the elements ... 0.5 eV per formula unit



(2)
An optimized crystal structure of AgRh4. Source: Alexandria, functional PBE.

a b c (Å): 3.6623 3.6623 12.2610
angles (deg): 90.00 90.00 90.00
With the nearest neighbours (Å) after each atom.
Space group I4/mmm (No. 139)
Symmetry-distinct sites (fractional):
Ag (0.0000, 0.0000, 0.0000) x2  8 Rh 2.86
Rh (0.0000, 0.0000, 0.4003) x4  5 Rh 2.44-2.60
Rh (0.0000, 0.5000, 0.2500) x4  8 Rh 2.59-2.60

## Properties
Density ... 10.49 g/cm3
E above lowest polymorph ... 297 meV/atom
D(E_F) ... 1.052 states/eV per atom
Total DFT energy (no corrections) ... -6.0302 eV per atom
Magnetization ... 0.000 μB per atom
Formation energy from the elements ... 2.1 eV per formula unit



(3)
An optimized crystal structure of ScMo5C3. Source: Alexandria, functional PBE.

a b c (Å): 9.6101 7.0556 7.9523
angles (deg): 90.00 117.23 90.00
With the nearest neighbours (Å) after each atom.
Space group C2/m (No. 12)
Symmetry-distinct sites (fractional):
Sc (0.1037, 0.0000, 0.3087) x4  3 C 2.17-2.19
Mo (0.0000, 0.2949, 0.0000) x4  3 C 2.08-2.12
Mo (0.0652, 0.5000, 0.3585) x4  3 C 2.08-2.21
Mo (0.1633, 0.2031, 0.6704) x8  3 C 2.10-2.11
Mo (0.2376, 0.0000, 0.0375) x4  3 C 2.14-2.16
C (0.0000, 0.0000, 0.0000) x2  4 Mo 2.08-2.16, 2 Sc 2.19
C (0.0000, 0.0000, 0.5000) x2  4 Mo 2.10, 2 Sc 2.17
C (0.1577, 0.5000, 0.6595) x4  5 Mo 2.08-2.15, 1 Sc 2.19
C (0.1700, 0.5000, 0.1621) x4  6 Mo 2.11-2.21

## Properties
Density ... 7.77 g/cm3
D(E_F) ... 0.636 states/eV per atom
Total DFT energy (no corrections) ... -9.8918 eV per atom
Magnetization ... 0.000 μB per atom
Formation energy from the elements ... -0.9 eV per formula unit



(4)
An optimized crystal structure of TeMoOs2. Source: Alexandria, functional PBE.

a b c (Å): 9.5295 3.0060 4.7215
angles (deg): 90.00 95.87 90.00
With the nearest neighbours (Å) after each atom.
Space group Cm (No. 8)
Symmetry-distinct sites (fractional):
Te (0.0000, 0.0000, 0.0000) x2  5 Os 2.65-2.87, 1 Mo 2.67
Mo (0.2665, 0.5000, 0.2678) x2  4 Os 2.61-2.76, 1 Te 2.67
Os (0.2204, 0.0000, 0.7012) x2  2 Mo 2.61, 1 Te 2.65, 3 Os 2.73-2.80
Os (0.4896, 0.0000, 0.5146) x2  4 Te 2.73-2.87, 5 Os 2.73-3.01, 3 Mo 2.76-2.99

## Properties
Density ... 14.91 g/cm3
Formation energy from raw total energies ... 2.242 eV/f.u.
D(E_F) ... 0.696 states/eV per atom
Total DFT energy (no corrections) ... -8.5476 eV per atom
Magnetization ... 0.000 μB per atom



(5)
An optimized crystal structure of AlOs2I. Source: Alexandria, functional PBE.

a b c (Å): 6.3978 6.3978 6.3978
angles (deg): 90.00 90.00 90.00
With the nearest neighbours (Å) after each atom.
Space group Fm-3m (No. 225)
Symmetry-distinct sites (fractional):
Al (0.0000, 0.0000, 0.0000) x4  8 Os 2.77
Os (0.2500, 0.2500, 0.2500) x8  4 Al 2.77, 4 I 2.77
I (0.0000, 0.0000, 0.5000) x4  8 Os 2.77

## Properties
Density ... 13.55 g/cm3
Formation energy from raw total energies ... 3.722 eV/f.u.
E above lowest polymorph ... 0 meV/atom
D(E_F) ... 0.733 states/eV per atom
Total DFT energy (no corrections) ... -6.0075 eV per atom
Magnetization ... 0.000 μB per atom



(6)
An optimized crystal structure of Dy3AlSe6. Source: Alexandria, functional PBE.

a b c (Å): 11.6273 11.6273 13.9894
angles (deg): 90.00 90.00 120.00
With the nearest neighbours (Å) after each atom.
Space group R-3 (No. 148, hexagonal axes)
Symmetry-distinct sites (fractional):
Dy (0.0511, 0.7794, 0.2033) x18  6 Se 2.84-2.91
Al (0.0000, 0.0000, 0.0000) x3  6 Se 2.57
Al (0.0000, 0.0000, 0.5000) x3  6 Se 2.60
Se (0.0179, 0.8210, 0.3997) x18  1 Al 2.60, 3 Dy 2.85-2.91
Se (0.0319, 0.8440, 0.8867) x18  1 Al 2.57, 2 Dy 2.84-2.85

## Properties
Density ... 6.01 g/cm3
Formation energy from raw total energies ... -15.684 eV/f.u.
E above lowest polymorph ... 50 meV/atom
D(E_F) ... 0.000 states/eV per atom
Total DFT energy (no corrections) ... -5.4140 eV per atom
Magnetization ... 0.000 μB per atom



(7)
An optimized crystal structure of Rb5USe5. Source: Alexandria, functional PBE.

a b c (Å): 15.7314 6.3420 9.3102
angles (deg): 90.00 109.21 90.00
With the nearest neighbours (Å) after each atom.
Space group C2/m (No. 12)
Symmetry-distinct sites (fractional):
Rb (0.0000, 0.0000, 0.0000) x2  4 Se 3.29-3.38
Rb (0.1754, 0.5000, 0.3474) x4  5 Se 3.27-3.57
Rb (0.1959, 0.5000, 0.8086) x4  4 Se 3.30-3.61
U (0.0000, 0.0000, 0.5000) x2  4 Se 2.73-2.77
Se (0.0000, 0.5000, 0.5000) x2  2 U 3.17, 4 Rb 3.45-3.49
Se (0.1277, 0.0000, 0.3595) x4  1 U 2.73
Se (0.1341, 0.0000, 0.7814) x4  1 U 2.77

## Properties
Density ... 4.01 g/cm3
Formation energy from raw total energies ... -12.497 eV/f.u.
D(E_F) ... 0.161 states/eV per atom
Total DFT energy (no corrections) ... -4.1860 eV per atom
Magnetization ... 0.091 μB per atom



(8)
An optimized crystal structure of Sm2EuSe. Source: Alexandria, functional PBE.

a b c (Å): 3.9096 3.9096 31.5773
angles (deg): 90.00 90.00 120.00
With the nearest neighbours (Å) after each atom.
Space group R-3m (No. 166, hexagonal axes)
Symmetry-distinct sites (fractional):
Sm (0.0000, 0.0000, 0.1109) x6  3 Se 2.86
Eu (0.0000, 0.0000, 0.0000) x3  2 Sm 3.50, 6 Eu 3.91
Se (0.0000, 0.0000, 0.5000) x3  6 Sm 2.86

## Properties
Density ... 6.34 g/cm3
Formation energy from raw total energies ... -2.627 eV/f.u.
D(E_F) ... 0.920 states/eV per atom
Total DFT energy (no corrections) ... -6.4562 eV per atom
Magnetization ... 1.837 μB per atom